No. 1
Here is a relaxed structure of Li2PrSiS4 from Alexandria via LeMat-Bulk. Energies are from PBE.

Unit cell a=7.645 b=7.645 c=7.926 alpha=121.20 beta=121.20 gamma=90.26
Fractional coordinates of all 16 atoms:
S  0.285  0.749  0.517
Si  0.000  0.000  0.000
S  0.258  0.241  0.468
Pr  0.000  0.500  0.000
S  0.741  0.758  0.968
Pr  0.000  0.500  0.500
Si  0.500  0.500  0.500
S  0.249  0.785  0.017
Li  0.500  0.000  0.500
S  0.751  0.215  0.983
S  0.715  0.251  0.483
Li  0.000  0.000  0.500
Li  0.500  0.500  0.000
S  0.259  0.242  0.032
S  0.742  0.759  0.532
Li  0.500  0.000  0.000

Formation energy (no corrections): -1.1229 eV/atom
Magnetization: 0.0 μB per cell

No. 2
Here is a relaxed structure of Li3Pr2SmS6 from Alexandria via LeMat-Bulk. Energies are from PBE.

Unit cell a=7.044 b=7.044 c=6.642 alpha=100.12 beta=100.12 gamma=120.04
Fractional coordinates of all 12 atoms:
Li  0.162  0.838  0.500
S  0.757  0.757  0.256
Li  0.838  0.162  0.500
S  0.243  0.243  0.744
S  0.915  0.587  0.743
S  0.587  0.915  0.743
Sm  0.000  0.000  0.000
Pr  0.333  0.667  0.000
Li  0.500  0.500  0.500
S  0.413  0.085  0.257
Pr  0.667  0.333  0.000
S  0.085  0.413  0.257

Formation energy (no corrections): -1.7755 eV/atom
Magnetization: 0.0 μB per cell

No. 3
Here is a relaxed structure of LiPr2Sm3S6 from Alexandria via LeMat-Bulk. Energies are from PBE.

Unit cell a=6.971 b=6.971 c=6.967 alpha=99.64 beta=99.64 gamma=120.16
Fractional coordinates of all 12 atoms:
Pr  0.334  0.666  0.000
Li  0.000  0.000  0.000
S  0.406  0.083  0.251
S  0.917  0.594  0.749
Sm  0.166  0.834  0.500
S  0.237  0.237  0.751
Sm  0.834  0.166  0.500
Sm  0.500  0.500  0.500
S  0.763  0.763  0.249
Pr  0.666  0.334  0.000
S  0.594  0.917  0.749
S  0.083  0.406  0.251

Formation energy (no corrections): -1.9560 eV/atom
Magnetization: 0.0 μB per cell

No. 4
Here is a relaxed structure of LiPr2SnS4 from Alexandria via LeMat-Bulk. Energies are from PBE.

Unit cell a=4.082 b=7.115 c=7.013 alpha=70.90 beta=90.00 gamma=90.00
Fractional coordinates of all 8 atoms:
Pr  0.000  0.000  0.000
S  0.000  0.253  0.246
S  0.500  0.746  0.245
S  0.000  0.747  0.754
Pr  0.500  0.000  0.500
S  0.500  0.254  0.755
Sn  0.000  0.500  0.500
Li  0.500  0.500  0.000

Formation energy (no corrections): -1.4290 eV/atom
Magnetization: 0.0 μB per cell

No. 5
Here is a relaxed structure of Li2PrSnS4 from Alexandria via LeMat-Bulk. Energies are from PBE.

Unit cell a=3.956 b=6.614 c=6.922 alpha=69.68 beta=90.00 gamma=90.00
Fractional coordinates of all 8 atoms:
Li  0.000  0.000  0.000
Pr  0.000  0.500  0.500
S  0.500  0.242  0.766
S  0.500  0.758  0.234
Li  0.500  0.000  0.500
S  0.000  0.241  0.245
S  0.000  0.759  0.755
Sn  0.500  0.500  0.000

Formation energy (no corrections): -1.2215 eV/atom
Magnetization: 0.0 μB per cell

No. 6
Here is a relaxed structure of LiPr2SnS5 from Alexandria via LeMat-Bulk. Energies are from PBE.

Unit cell a=4.035 b=8.915 c=11.519 alpha=90.00 beta=90.00 gamma=103.08
Fractional coordinates of all 18 atoms:
S  0.304  0.607  0.652
S  0.971  0.943  0.587
S  0.363  0.726  0.995
S  0.489  0.977  0.285
Pr  0.872  0.743  0.181
Li  0.772  0.543  0.507
S  0.029  0.057  0.087
Pr  0.878  0.756  0.802
S  0.703  0.406  0.834
Sn  0.416  0.831  0.481
S  0.637  0.274  0.495
S  0.511  0.023  0.785
Pr  0.128  0.257  0.681
Sn  0.584  0.169  0.981
S  0.297  0.594  0.334
Pr  0.122  0.244  0.302
Li  0.228  0.457  0.007
S  0.696  0.393  0.152

Formation energy (no corrections): -1.4011 eV/atom
Magnetization: 0.0 μB per cell

No. 7
Here is a relaxed structure of LiPrSn2S4 from Alexandria via LeMat-Bulk. Energies are from PBE.

Unit cell a=4.106 b=7.199 c=6.920 alpha=71.28 beta=90.00 gamma=90.00
Fractional coordinates of all 8 atoms:
Sn  0.500  0.000  0.500
S  0.500  0.263  0.750
Pr  0.000  0.500  0.500
S  0.500  0.737  0.250
Sn  0.000  0.000  0.000
S  0.000  0.741  0.753
Li  0.500  0.500  0.000
S  0.000  0.259  0.247

Formation energy (no corrections): -1.0359 eV/atom
Magnetization: 0.0 μB per cell

No. 8
Here is a relaxed structure of LiPrSnS3 from Alexandria via LeMat-Bulk. Energies are from PBE.

Unit cell a=3.912 b=8.587 c=8.854 alpha=96.01 beta=90.00 gamma=90.00
Fractional coordinates of all 12 atoms:
Li  0.250  0.105  0.584
Li  0.750  0.895  0.416
S  0.250  0.818  0.553
S  0.750  0.891  0.132
Sn  0.250  0.647  0.167
S  0.250  0.613  0.871
S  0.750  0.182  0.447
Pr  0.750  0.848  0.792
S  0.250  0.109  0.868
Sn  0.750  0.353  0.833
Pr  0.250  0.152  0.208
S  0.750  0.387  0.129

Formation energy (no corrections): -1.2881 eV/atom
Magnetization: 0.0 μB per cell

No. 9
Here is a relaxed structure of SrLiPr2S4 from Alexandria via LeMat-Bulk. Energies are from PBE.

Unit cell a=4.068 b=7.093 c=14.153 alpha=90.00 beta=90.00 gamma=106.66
Fractional coordinates of all 16 atoms:
Pr  0.370  0.740  0.557
S  0.446  0.891  0.750
Pr  0.370  0.740  0.943
Li  0.154  0.307  0.250
Pr  0.630  0.260  0.443
Li  0.846  0.693  0.750
S  0.728  0.455  0.877
Pr  0.630  0.260  0.057
S  0.272  0.545  0.123
S  0.000  0.000  0.500
S  0.728  0.455  0.623
S  0.000  0.000  0.000
S  0.554  0.109  0.250
Sr  0.885  0.770  0.250
Sr  0.115  0.230  0.750
S  0.272  0.545  0.377

Formation energy (no corrections): -1.9151 eV/atom
Magnetization: 0.0 μB per cell

No. 10
Here is a relaxed structure of Sr4LiPr3S8 from Alexandria via LeMat-Bulk. Energies are from PBE.

Unit cell a=8.310 b=8.365 c=8.311 alpha=119.78 beta=120.00 gamma=90.00
Fractional coordinates of all 16 atoms:
S  0.253  0.258  0.505
S  0.754  0.262  0.508
Pr  0.500  0.500  0.500
Sr  0.000  0.000  0.500
S  0.747  0.742  0.495
Pr  0.000  0.500  0.500
Li  0.000  0.500  0.000
S  0.747  0.738  0.992
S  0.246  0.738  0.492
S  0.253  0.262  0.008
Sr  0.000  0.000  0.000
Sr  0.500  0.000  0.000
S  0.754  0.262  0.008
Pr  0.500  0.500  0.000
S  0.246  0.738  0.992
Sr  0.500  0.000  0.500

Formation energy (no corrections): -1.9954 eV/atom
Magnetization: 0.0 μB per cell

No. 11
Here is a relaxed structure of LiTbPrS3 from Alexandria via LeMat-Bulk. Energies are from PBE.

Unit cell a=3.889 b=8.195 c=8.498 alpha=102.58 beta=90.00 gamma=90.00
Fractional coordinates of all 12 atoms:
S  0.250  0.570  0.829
S  0.750  0.901  0.133
Tb  0.250  0.663  0.166
S  0.750  0.212  0.500
S  0.750  0.430  0.171
S  0.250  0.788  0.500
Tb  0.750  0.337  0.834
Pr  0.750  0.813  0.778
Li  0.250  0.087  0.585
Li  0.750  0.913  0.415
Pr  0.250  0.187  0.222
S  0.250  0.099  0.867

Formation energy (no corrections): -1.8329 eV/atom
Magnetization: 0.0 μB per cell

No. 12
Here is a relaxed structure of LiTb3Pr2S6 from Alexandria via LeMat-Bulk. Energies are from PBE.

Unit cell a=6.893 b=6.893 c=6.897 alpha=99.63 beta=99.63 gamma=120.14
Fractional coordinates of all 12 atoms:
S  0.766  0.766  0.255
Li  0.000  0.000  0.000
S  0.086  0.407  0.258
S  0.407  0.086  0.258
Tb  0.500  0.500  0.500
S  0.914  0.593  0.742
Tb  0.167  0.833  0.500
Pr  0.334  0.666  0.000
S  0.234  0.234  0.745
S  0.593  0.914  0.742
Pr  0.666  0.334  0.000
Tb  0.833  0.167  0.500

Formation energy (no corrections): -1.9581 eV/atom
Magnetization: 0.0 μB per cell